# 1
Computed, not measured: Cs2MgSiSe4 after structural relaxation at the PBE level of DFT.

Summary:
Energy relative to the elements, uncorrected   -1.0804 eV per atom
SG   Fddd, No. 70
Crystal system   orthorhombic

Cell lengths 6.215, 7.949, 13.430 Å; angles 84.81, 76.62, 66.99 degrees
Fractional positions:
1 Cs 0.179 0.000 0.642
2 Cs 0.821 0.000 0.358
3 Cs 0.571 0.500 0.858
4 Cs 0.929 0.500 0.142
5 Mg 0.750 0.500 0.500
6 Mg 0.000 0.000 0.000
7 Si 0.250 0.500 0.500
8 Si 0.500 0.000 0.000
9 Se 0.324 0.817 0.100
10 Se 0.242 0.183 0.900
11 Se 0.859 0.817 0.900
12 Se 0.576 0.183 0.100
13 Se 0.426 0.683 0.400
14 Se 0.508 0.317 0.600
15 Se 0.891 0.683 0.600
16 Se 0.174 0.317 0.400

# 2
Computed, not measured: Ho4RhS3 after structural relaxation at the PBE level of DFT.

Summary:
Energy relative to the elements, uncorrected   -1.6403 eV per atom
SG   Cmmm, No. 65
Crystal system   orthorhombic

Cell lengths 3.873, 6.874, 6.874 Å; angles 108.79, 90.00, 90.00 degrees
Fractional positions:
1 S 0.000 0.000 0.500
2 S 0.500 0.500 0.500
3 S 0.000 0.500 0.000
4 Rh 0.500 0.000 0.000
5 Ho 0.000 0.242 0.242
6 Ho 0.500 0.753 0.247
7 Ho 0.000 0.758 0.758
8 Ho 0.500 0.247 0.753

# 3
Computed, not measured: TbErMo after structural relaxation at the PBE level of DFT.

Summary:
Energy relative to the elements   701 meV/atom
SG   Fmmm, No. 69
Crystal system   orthorhombic

Cell lengths 5.574, 4.601, 8.347 Å; angles 78.33, 70.49, 52.71 degrees
Fractional positions:
1 Tb 0.750 0.500 0.500
2 Tb 0.250 0.500 0.500
3 Mo 0.843 0.315 0.000
4 Mo 0.157 0.685 0.000
5 Er 0.593 0.000 0.813
6 Er 0.407 0.000 0.187

# 4
Computed, not measured: DyTmInHg after structural relaxation at the PBE level of DFT.

Summary:
Energy relative to the elements   -450 meV/atom
SG   F-43m, No. 216
Crystal system   cubic

Cell lengths 5.269, 5.269, 5.269 Å; angles 60.00, 60.00, 60.00 degrees
Fractional positions:
1 Tm 0.500 0.500 0.500
2 In 0.250 0.250 0.250
3 Hg 0.750 0.750 0.750
4 Dy 0.000 0.000 0.000

# 5
Computed, not measured: BaSm2AgSe4 after structural relaxation at the PBE level of DFT.

Summary:
Energy relative to the elements, uncorrected   -1.5855 eV per atom
SG   Cmcm, No. 63
Crystal system   orthorhombic

Cell lengths 4.304, 7.447, 14.693 Å; angles 90.00, 90.00, 106.80 degrees
Fractional positions:
1 Ba 0.127 0.254 0.750
2 Ba 0.873 0.746 0.250
3 Sm 0.375 0.750 0.560
4 Sm 0.625 0.250 0.060
5 Sm 0.625 0.250 0.440
6 Sm 0.375 0.750 0.940
7 Ag 0.852 0.703 0.750
8 Ag 0.148 0.297 0.250
9 Se 0.269 0.537 0.111
10 Se 0.731 0.463 0.611
11 Se 0.731 0.463 0.889
12 Se 0.269 0.537 0.389
13 Se 0.000 0.000 0.500
14 Se 0.000 0.000 0.000
15 Se 0.456 0.911 0.750
16 Se 0.544 0.089 0.250

# 6
Computed, not measured: Tb3MgRh4 after structural relaxation at the PBE level of DFT.

Summary:
Energy relative to the elements   -782 meV/atom
SG   R-3m, No. 166
Crystal system   trigonal

Cell lengths 4.760, 4.760, 8.264 Å; angles 73.26, 73.26, 60.00 degrees
Fractional positions:
1 Rh 0.876 0.876 0.371
2 Rh 0.375 0.375 0.874
3 Rh 0.124 0.124 0.629
4 Rh 0.625 0.625 0.126
5 Mg 0.000 0.000 0.000
6 Tb 0.256 0.256 0.233
7 Tb 0.744 0.744 0.767
8 Tb 0.500 0.500 0.500

# 7
Computed, not measured: ZrSb2Rh after structural relaxation at the PBE level of DFT.

Summary:
Energy relative to the elements, uncorrected   -0.3474 eV per atom
SG   I-4m2, No. 119
Crystal system   tetragonal

Cell lengths 5.713, 5.713, 5.713 Å; angles 138.19, 138.19, 60.61 degrees
Fractional positions:
1 Rh 0.750 0.250 0.500
2 Sb 0.000 0.000 0.000
3 Sb 0.250 0.750 0.500
4 Zr 0.500 0.500 0.000

# 8
Computed, not measured: PmErS after structural relaxation at the PBE level of DFT.

Summary:
Energy relative to the elements, uncorrected   -1.2562 eV per atom
SG   P3m1, No. 156
Crystal system   trigonal

Cell lengths 6.420, 3.809, 3.809 Å; angles 120.00, 90.00, 90.00 degrees
Last column: magnetic moment on the atom in μB.
Fractional positions:
1 S 0.324 0.333 0.667  0.00
2 Pm 0.601 0.667 0.333  0.13
3 Er 0.075 0.000 0.000  -0.17

# 9
Computed, not measured: SbMoSe2 after structural relaxation at the PBE level of DFT.

Summary:
Energy relative to the elements, uncorrected   0.3290 eV per atom
SG   I-42d, No. 122
Crystal system   tetragonal

Cell lengths 6.538, 6.538, 7.007 Å; angles 62.19, 62.19, 90.00 degrees
Fractional positions:
1 Sb 0.000 0.000 0.000
2 Sb 0.750 0.250 0.500
3 Mo 0.500 0.500 0.000
4 Mo 0.250 0.750 0.500
5 Se 0.560 0.125 0.250
6 Se 0.190 0.625 0.250
7 Se 0.375 0.440 0.750
8 Se 0.875 0.810 0.750

# 10
Computed, not measured: Ta2ReW after structural relaxation at the PBE level of DFT.

Summary:
Energy relative to the elements   -189 meV/atom
SG   Immm, No. 71
Crystal system   orthorhombic

Cell lengths 5.318, 5.318, 5.318 Å; angles 144.79, 128.92, 63.56 degrees
Fractional positions:
1 Re 0.250 0.750 0.500
2 W 0.750 0.250 0.500
3 Ta 0.002 0.002 0.000
4 Ta 0.498 0.498 0.000

# 11
Computed, not measured: Dy3CdCo after structural relaxation at the PBE level of DFT.

Summary:
Energy relative to the elements   -108 meV/atom
SG   Pm-3m, No. 221
Crystal system   cubic

Cell lengths 5.160, 5.160, 5.160 Å; angles 90.00, 90.00, 90.00 degrees
Fractional positions:
1 Cd 0.500 0.500 0.500
2 Co 0.000 0.000 0.000
3 Dy 0.000 0.500 0.000
4 Dy 0.000 0.000 0.500
5 Dy 0.500 0.000 0.000

# 12
Computed, not measured: Sc2TeAs after structural relaxation at the PBE level of DFT.

Summary:
Energy relative to the elements, uncorrected   -0.8729 eV per atom
SG   C2/m, No. 12
Crystal system   monoclinic

Cell lengths 5.076, 5.076, 3.544 Å; angles 80.79, 80.79, 92.48 degrees
Fractional positions:
1 As 0.000 0.500 0.500
2 Sc 0.000 0.000 0.000
3 Sc 0.500 0.500 0.000
4 Te 0.500 0.000 0.500

# 13
Computed, not measured: VAgS2 after structural relaxation at the PBE level of DFT.

Summary:
Energy relative to the elements, uncorrected   -0.3592 eV per atom
SG   I4/mcm, No. 140
Crystal system   tetragonal

Cell lengths 6.992, 6.992, 5.789 Å; angles 52.85, 52.85, 90.00 degrees
Last column: magnetic moment on the atom in μB.
Fractional positions:
1 S 0.826 0.326 0.000  -0.07
2 S 0.174 0.674 0.000  -0.07
3 S 0.326 0.174 0.000  -0.07
4 S 0.674 0.826 0.000  -0.07
5 Ag 0.750 0.750 0.500  0.01
6 Ag 0.250 0.250 0.500  0.01
7 V 0.750 0.250 0.500  1.46
8 V 0.250 0.750 0.500  1.46